ZrSc2Ag | PBEsol | optimized geometry

The space group is P4mm (No. 99) and the conventional cell measures 3.166, 3.166 and 8.433 Å, with angles of 90.00, 90.00 and 90.00 degrees. The asymmetric unit holds Zr at (0.000, 0.000, 0.000), Sc at (0.000, 0.000, 0.462), Sc at (0.500, 0.500, 0.747) and Ag at (0.500, 0.500, 0.239).

The calculation puts the energy of formation at -0.0759 eV per atom. For the density of states at the Fermi level, the calculation gives 1.100 states/eV/atom. The calculation puts the energy at -6.48 eV/atom. As for the magnetic moment: 0.000 μB per atom.